1.
BaTaReOs2 | GGA-PBE | relaxed

Cell lengths 4.856, 4.856, 4.902 Å; angles 90.00, 90.00, 90.00 degrees
Fractional coordinates of all 5 atoms:
Ba 0.000 0.000 0.000
Ta 0.500 0.500 0.500
Re 0.000 0.000 0.500
Os 0.000 0.500 0.000
Os 0.500 0.000 0.000

Results
Space-group type: P4/mmm
ΔH_f (0 K), eV per atom: 3.77

2.
BaV2ReOs | GGA-PBE | relaxed

Cell lengths 4.850, 4.850, 4.922 Å; angles 90.00, 90.00, 90.00 degrees
Fractional coordinates of all 5 atoms:
Ba 0.000 0.000 0.000
V 0.000 0.500 0.500
V 0.500 0.000 0.500
Re 0.500 0.500 0.000
Os 0.500 0.500 0.500

Results
Space-group type: P4/mmm
ΔH_f (0 K), eV per atom: 1.02

3.
BaVReOs2 | GGA-PBE | relaxed

Cell lengths 4.906, 4.906, 4.938 Å; angles 90.00, 90.00, 90.00 degrees
Fractional coordinates of all 5 atoms:
Ba 0.000 0.000 0.000
V 0.500 0.500 0.500
Re 0.000 0.000 0.500
Os 0.000 0.500 0.000
Os 0.500 0.000 0.000

Results
Space-group type: P4/mmm
ΔH_f (0 K), eV per atom: 3.96

4.
Ba2ReOsW | GGA-PBE | relaxed

Cell lengths 6.091, 6.091, 4.640 Å; angles 90.00, 90.00, 90.00 degrees
Fractional coordinates of all 5 atoms:
Ba 0.000 0.500 0.000
Ba 0.500 0.000 0.000
Re 0.000 0.000 0.500
Os 0.500 0.500 0.500
W 0.000 0.000 0.000

Results
Space-group type: P4/mmm
ΔH_f (0 K), eV per atom: 2.21

no.,calculated volume (Å³/f.u.)
1,115.6
2,115.8
3,118.9
4,172.2